First-principles (GGA-PBE) data for ZrBe2W after structural relaxation, as listed in the Alexandria database.

```
data_ZrBe2W
_symmetry_space_group_name_H-M 'C 1 2/m 1'
_symmetry_Int_Tables_number 12
_cell_length_a 5.599
_cell_length_b 7.054
_cell_length_c 2.800
_cell_angle_alpha 90.00
_cell_angle_beta 90.32
_cell_angle_gamma 90.00
loop_
_symmetry_equiv_pos_as_xyz
'x,y,z'
'-x,-y,-z'
'-x,y,-z'
'x,-y,z'
'x+1/2,y+1/2,z'
'-x+1/2,-y+1/2,-z'
'-x+1/2,y+1/2,-z'
'x+1/2,-y+1/2,z'
loop_
_atom_site_label
_atom_site_type_symbol
_atom_site_fract_x
_atom_site_fract_y
_atom_site_fract_z
Zr1 Zr 0.000 0.000 0.000
Be1 Be 0.250 0.250 0.500
W1 W 0.000 0.500 0.000
```

## Properties
E_form = 0.1134 eV/atom
E = -7.125 eV per atom